Entry 1:
A geometry-optimized Be2Co structure, computed with GGA-PBEsol.

Geometry as POSCAR:
```
Be2Co
1.0
1.2937 -5.4245 0.0000
1.2937 5.4245 0.0000
0.0000 0.0000 3.5032
Be Co
4 2
direct
0.0712 0.9288 0.7500
0.2617 0.7383 0.2500
0.7383 0.2617 0.7500
0.9288 0.0712 0.2500
0.4048 0.5952 0.7500
0.5952 0.4048 0.2500
```


Entry 2:
BaTl2Sb | Alexandria via LeMat-Bulk | GGA-PBEsol | relaxed; E_form (uncorrected) = -412 meV per atom
1.0
3.3886 -3.7747 0.0000
3.3886 3.7747 0.0000
0.0000 0.0000 5.3752
Ba Tl Sb
1 2 1
direct
0.0000 0.0000 0.0000
0.2852 0.7148 0.5000
0.7148 0.2852 0.5000
0.5000 0.5000 0.0000


Entry 3:
A geometry-optimized Zn2Ir structure, computed with GGA-PBEsol.

Geometry as POSCAR:
```
Zn2Ir
1.0
7.1662 0.0000 0.0000
-3.5831 6.2061 0.0000
0.0000 0.0000 2.8398
Zn Ir
6 3
direct
0.0000 0.3807 0.0000
0.0000 0.7063 0.5000
0.2937 0.2937 0.5000
0.3807 0.0000 0.0000
0.6193 0.6193 0.0000
0.7063 0.0000 0.5000
0.0000 0.0000 0.0000
0.3333 0.6667 0.5000
0.6667 0.3333 0.5000
```


no.,calculated total energy (eV/f.u.)
1,-16.7
2,-13.6
3,-13.4